1.
Entry from Alexandria: an optimized crystal structure of Sm4Al2Cd5 (PBE-GGA).

a b c (Å): 3.6574 7.8022 9.9973
angles (deg): 94.85 90.00 90.00
Positions (direct):
1 Sm 0.5000 0.7346 0.5597
2 Cd 0.0000 0.4326 0.7007
3 Cd 0.0000 0.1869 0.1623
4 Sm 0.5000 0.1674 0.8763
5 Cd 0.0000 0.8131 0.8377
6 Al 0.0000 0.0582 0.6291
7 Sm 0.5000 0.8326 0.1237
8 Sm 0.5000 0.2654 0.4403
9 Al 0.0000 0.9418 0.3709
10 Cd 0.0000 0.5000 0.0000
11 Cd 0.0000 0.5674 0.2993

Output
Size of the total moment in Bohr magnetons per cell: 0.000
Formation enthalpy at 0 K in eV/atom: -0.297

2.
Entry from Alexandria: an optimized crystal structure of Sm8Al2Cd (PBE-GGA).

a b c (Å): 5.0127 7.8336 9.0842
angles (deg): 107.66 106.02 90.00
Positions (direct):
1 Sm 0.8232 0.7419 0.6464
2 Sm 0.3272 0.0675 0.6544
3 Sm 0.1768 0.2581 0.3536
4 Sm 0.9625 0.2585 0.9250
5 Sm 0.6014 0.4622 0.2028
6 Sm 0.6728 0.9325 0.3456
7 Al 0.7925 0.3219 0.5851
8 Sm 0.0375 0.7415 0.0750
9 Sm 0.3986 0.5378 0.7972
10 Cd 0.5000 0.0000 0.0000
11 Al 0.2075 0.6781 0.4149

Output
Size of the total moment in Bohr magnetons per cell: 0.000
Formation enthalpy at 0 K in eV/atom: -0.153

3.
Entry from Alexandria: an optimized crystal structure of Sm5Al2Cd (PBE-GGA).

a b c (Å): 7.8265 7.8265 9.4276
angles (deg): 114.52 114.52 90.00
Positions (direct):
1 Sm 0.3173 0.8173 0.2926
2 Sm 0.1827 0.0247 0.7074
3 Sm 0.8173 0.9753 0.2926
4 Sm 0.0000 0.0000 0.0000
5 Sm 0.0247 0.5247 0.7074
6 Cd 0.2500 0.2500 0.5000
7 Al 0.8812 0.6188 0.0000
8 Sm 0.5000 0.5000 0.0000
9 Al 0.1188 0.3812 0.0000
10 Sm 0.6827 0.1827 0.7074
11 Sm 0.9753 0.4753 0.2926
12 Al 0.6188 0.1188 0.0000
13 Al 0.3812 0.8812 0.0000
14 Cd 0.7500 0.7500 0.5000
15 Sm 0.4753 0.3173 0.2926
16 Sm 0.5247 0.6827 0.7074

Output
Size of the total moment in Bohr magnetons per cell: 0.000
Formation enthalpy at 0 K in eV/atom: -0.240

4.
Entry from Alexandria: an optimized crystal structure of Sm7Al2Cd2 (PBE-GGA).

a b c (Å): 6.8191 8.0196 6.8191
angles (deg): 90.00 112.33 90.00
Positions (direct):
1 Al 0.7107 0.0000 0.2893
2 Sm 0.5000 0.2832 0.0000
3 Sm 0.5000 0.2447 0.5000
4 Sm 0.5000 0.7168 0.0000
5 Sm 0.0000 0.2832 0.5000
6 Al 0.2893 0.0000 0.7107
7 Sm 0.5000 0.7553 0.5000
8 Cd 0.1800 0.5000 0.1800
9 Sm 0.0000 0.0000 0.0000
10 Sm 0.0000 0.7168 0.5000
11 Cd 0.8200 0.5000 0.8200

Output
Size of the total moment in Bohr magnetons per cell: 0.000
Formation enthalpy at 0 K in eV/atom: -0.005

5.
Entry from Alexandria: an optimized crystal structure of Sm4Al3Cd (PBE-GGA).

a b c (Å): 5.2580 7.4462 10.5146
angles (deg): 90.00 90.00 90.00
Positions (direct):
1 Sm 0.9998 0.7538 0.2500
2 Cd 0.0000 0.5000 0.0000
3 Sm 0.0002 0.7538 0.7500
4 Sm 0.9998 0.2462 0.2500
5 Sm 0.5000 0.2462 0.5000
6 Al 0.0000 0.0000 0.5000
7 Al 0.0000 0.0000 0.0000
8 Al 0.5000 0.5000 0.2500
9 Sm 0.5000 0.7538 0.5000
10 Sm 0.5000 0.2462 0.0000
11 Cd 0.0000 0.5000 0.5000
12 Sm 0.0002 0.2462 0.7500
13 Al 0.5000 0.5000 0.7500
14 Al 0.4997 0.0000 0.2500
15 Al 0.5003 0.0000 0.7500
16 Sm 0.5000 0.7538 0.0000

Output
Size of the total moment in Bohr magnetons per cell: 0.000
Formation enthalpy at 0 K in eV/atom: -0.359

6.
Entry from Alexandria: an optimized crystal structure of SmThAlCd (PBE-GGA).

a b c (Å): 5.3335 5.3335 5.3335
angles (deg): 60.00 60.00 60.00
Positions (direct):
1 Al 0.2500 0.2500 0.2500
2 Sm 0.0000 0.0000 0.0000
3 Th 0.5000 0.5000 0.5000
4 Cd 0.7500 0.7500 0.7500

Output
Size of the total moment in Bohr magnetons per cell: 0.000
Formation enthalpy at 0 K in eV/atom: -0.232

7.
Entry from Alexandria: an optimized crystal structure of SmTmAlCd (PBE-GGA).

a b c (Å): 5.2216 5.2216 5.2216
angles (deg): 60.00 60.00 60.00
Positions (direct):
1 Sm 0.5000 0.5000 0.5000
2 Al 0.2500 0.2500 0.2500
3 Tm 0.0000 0.0000 0.0000
4 Cd 0.7500 0.7500 0.7500

Output
Size of the total moment in Bohr magnetons per cell: 0.000
Formation enthalpy at 0 K in eV/atom: -0.339

8.
Entry from Alexandria: an optimized crystal structure of SmTmAlCd (PBE-GGA).

a b c (Å): 3.6432 3.6432 7.5582
angles (deg): 90.00 90.00 90.00
Positions (direct):
1 Cd 0.0000 0.0000 0.8410
2 Al 0.0000 0.0000 0.3696
3 Tm 0.5000 0.5000 0.5968
4 Sm 0.5000 0.5000 0.1206

Output
Size of the total moment in Bohr magnetons per cell: 0.000
Formation enthalpy at 0 K in eV/atom: -0.357

9.
Entry from Alexandria: an optimized crystal structure of SmYAlCd (PBE-GGA).

a b c (Å): 5.2616 5.2616 5.2616
angles (deg): 60.00 60.00 60.00
Positions (direct):
1 Y 0.7500 0.7500 0.7500
2 Cd 0.0000 0.0000 0.0000
3 Al 0.5000 0.5000 0.5000
4 Sm 0.2500 0.2500 0.2500

Output
Size of the total moment in Bohr magnetons per cell: 0.000
Formation enthalpy at 0 K in eV/atom: -0.365

10.
Entry from Alexandria: an optimized crystal structure of Sm4AlZn2Cd (PBE-GGA).

a b c (Å): 5.2265 5.2265 9.0908
angles (deg): 73.29 73.29 60.00
Positions (direct):
1 Sm 0.6221 0.6221 0.1336
2 Sm 0.8721 0.8721 0.3836
3 Sm 0.3779 0.3779 0.8664
4 Cd 0.0000 0.0000 0.0000
5 Sm 0.1279 0.1279 0.6164
6 Zn 0.7491 0.7491 0.7528
7 Al 0.5000 0.5000 0.5000
8 Zn 0.2509 0.2509 0.2472

Output
Size of the total moment in Bohr magnetons per cell: 0.001
Formation enthalpy at 0 K in eV/atom: -0.321

11.
Entry from Alexandria: an optimized crystal structure of SmAlZnCd (PBE-GGA).

a b c (Å): 4.9433 4.9433 4.9433
angles (deg): 60.00 60.00 60.00
Positions (direct):
1 Sm 0.2500 0.2500 0.2500
2 Cd 0.7500 0.7500 0.7500
3 Zn 0.0000 0.0000 0.0000
4 Al 0.5000 0.5000 0.5000

Output
Size of the total moment in Bohr magnetons per cell: 0.000
Formation enthalpy at 0 K in eV/atom: -0.226

12.
Entry from Alexandria: an optimized crystal structure of Sm2Al4Zn3Cd (PBE-GGA).

a b c (Å): 4.2605 4.2605 10.9256
angles (deg): 90.00 90.00 90.00
Positions (direct):
1 Zn 0.0000 0.5000 0.1338
2 Zn 0.0000 0.0000 0.5000
3 Sm 0.5000 0.0000 0.2442
4 Sm 0.0000 0.5000 0.7558
5 Zn 0.5000 0.0000 0.8662
6 Al 0.5000 0.0000 0.6438
7 Al 0.5000 0.5000 0.0000
8 Al 0.0000 0.5000 0.3562
9 Cd 0.5000 0.5000 0.5000
10 Al 0.0000 0.0000 0.0000

Output
Size of the total moment in Bohr magnetons per cell: 0.000
Formation enthalpy at 0 K in eV/atom: -0.369

13.
Entry from Alexandria: an optimized crystal structure of SmZrAlCd (PBE-GGA).

a b c (Å): 5.0859 5.0859 5.0859
angles (deg): 60.00 60.00 60.00
Positions (direct):
1 Zr 0.5000 0.5000 0.5000
2 Al 0.2500 0.2500 0.2500
3 Sm 0.0000 0.0000 0.0000
4 Cd 0.7500 0.7500 0.7500

Output
Size of the total moment in Bohr magnetons per cell: 0.000
Formation enthalpy at 0 K in eV/atom: -0.220

14.
Entry from Alexandria: an optimized crystal structure of AlCdSn3 (PBE-GGA).

a b c (Å): 5.3257 5.3257 5.3257
angles (deg): 90.00 90.00 90.00
Positions (direct):
1 Sn 0.0000 0.5000 0.0000
2 Sn 0.5000 0.0000 0.0000
3 Al 0.0000 0.0000 0.0000
4 Sn 0.0000 0.0000 0.5000
5 Cd 0.5000 0.5000 0.5000

Output
Size of the total moment in Bohr magnetons per cell: 0.000
Formation enthalpy at 0 K in eV/atom: 0.410

15.
Entry from Alexandria: an optimized crystal structure of AlCdSn2 (PBE-GGA).

a b c (Å): 5.3345 5.3345 9.0637
angles (deg): 72.89 72.89 90.00
Positions (direct):
1 Cd 0.7500 0.2500 0.5000
2 Al 0.2500 0.7500 0.5000
3 Sn 0.6041 0.1250 0.2500
4 Sn 0.8750 0.8541 0.7500
5 Sn 0.1459 0.6250 0.2500
6 Al 0.5000 0.5000 0.0000
7 Sn 0.3750 0.3959 0.7500
8 Cd 0.0000 0.0000 0.0000

Output
Size of the total moment in Bohr magnetons per cell: 0.000
Formation enthalpy at 0 K in eV/atom: 0.234

16.
Entry from Alexandria: an optimized crystal structure of AlCd2Sn2 (PBE-GGA).

a b c (Å): 7.4022 7.4022 4.6122
angles (deg): 90.00 90.00 90.00
Positions (direct):
1 Sn 0.6706 0.8294 0.5000
2 Sn 0.1706 0.6706 0.5000
3 Cd 0.6389 0.1389 0.0000
4 Al 0.0000 0.0000 0.0000
5 Cd 0.1389 0.3611 0.0000
6 Cd 0.3611 0.8611 0.0000
7 Sn 0.8294 0.3294 0.5000
8 Cd 0.8611 0.6389 0.0000
9 Al 0.5000 0.5000 0.0000
10 Sn 0.3294 0.1706 0.5000

Output
Size of the total moment in Bohr magnetons per cell: 0.000
Formation enthalpy at 0 K in eV/atom: 0.201

17.
Entry from Alexandria: an optimized crystal structure of AlCd3Sn (PBE-GGA).

a b c (Å): 5.5716 5.5716 5.5716
angles (deg): 90.00 90.00 90.00
Positions (direct):
1 Al 0.5000 0.5000 0.5000
2 Cd 0.5000 0.0000 0.0000
3 Sn 0.0000 0.0000 0.0000
4 Cd 0.0000 0.0000 0.5000
5 Cd 0.0000 0.5000 0.0000

Output
Size of the total moment in Bohr magnetons per cell: 0.000
Formation enthalpy at 0 K in eV/atom: 0.608

18.
Entry from Alexandria: an optimized crystal structure of AlCd2Sn2 (PBE-GGA).

a b c (Å): 7.5718 7.5718 4.5274
angles (deg): 90.00 90.00 90.00
Positions (direct):
1 Al 0.0000 0.0000 0.0000
2 Cd 0.1618 0.6618 0.5000
3 Sn 0.6459 0.1459 0.0000
4 Al 0.5000 0.5000 0.0000
5 Cd 0.6618 0.8382 0.5000
6 Sn 0.3541 0.8541 0.0000
7 Cd 0.3382 0.1618 0.5000
8 Sn 0.1459 0.3541 0.0000
9 Sn 0.8541 0.6459 0.0000
10 Cd 0.8382 0.3382 0.5000

Output
Size of the total moment in Bohr magnetons per cell: 0.000
Formation enthalpy at 0 K in eV/atom: 0.202

19.
Entry from Alexandria: an optimized crystal structure of AlCdSn (PBE-GGA).

a b c (Å): 3.2761 3.2761 6.7951
angles (deg): 103.95 103.95 90.00
Positions (direct):
1 Al 0.6644 0.6644 0.3288
2 Cd 0.0126 0.0126 0.0252
3 Sn 0.3230 0.3230 0.6460

Output
Size of the total moment in Bohr magnetons per cell: 0.000
Formation enthalpy at 0 K in eV/atom: 0.130

20.
Entry from Alexandria: an optimized crystal structure of AlCdSn (PBE-GGA).

a b c (Å): 7.4864 6.6667 9.2629
angles (deg): 90.00 142.94 90.00
Positions (direct):
1 Cd 0.9792 0.8565 0.2263
2 Al 0.8869 0.9985 0.4779
3 Cd 0.4792 0.1435 0.7263
4 Sn 0.8003 0.8471 0.7282
5 Al 0.3869 0.0015 0.9779
6 Sn 0.3003 0.6529 0.7282
7 Al 0.8869 0.4985 0.9779
8 Sn 0.3003 0.1529 0.2282
9 Sn 0.8003 0.3471 0.2282
10 Al 0.3869 0.5015 0.4779
11 Cd 0.9792 0.3565 0.7263
12 Cd 0.4792 0.6435 0.2263

Output
Size of the total moment in Bohr magnetons per cell: 0.000
Formation enthalpy at 0 K in eV/atom: 0.125

21.
Entry from Alexandria: an optimized crystal structure of AlCdSn2 (PBE-GGA).

a b c (Å): 4.4848 4.6568 4.6568
angles (deg): 90.00 90.00 90.00
Positions (direct):
1 Cd 0.5000 0.5000 0.5000
2 Sn 0.0000 0.0000 0.5000
3 Al 0.5000 0.0000 0.0000
4 Sn 0.0000 0.5000 0.0000

Output
Size of the total moment in Bohr magnetons per cell: 0.000
Formation enthalpy at 0 K in eV/atom: 0.150

22.
Entry from Alexandria: an optimized crystal structure of Al2Cd2Sn (PBE-GGA).

a b c (Å): 4.3048 4.3048 6.9180
angles (deg): 71.87 71.87 90.00
Positions (direct):
1 Cd 0.2500 0.7500 0.5000
2 Al 0.6011 0.6011 0.7978
3 Sn 0.0000 0.0000 0.0000
4 Al 0.3989 0.3989 0.2022
5 Cd 0.7500 0.2500 0.5000

Output
Size of the total moment in Bohr magnetons per cell: 0.000
Formation enthalpy at 0 K in eV/atom: 0.187

23.
Entry from Alexandria: an optimized crystal structure of AlCdSn (PBE-GGA).

a b c (Å): 5.6937 6.9047 9.1838
angles (deg): 90.00 129.58 90.00
Positions (direct):
1 Sn 0.0967 0.4368 0.3481
2 Cd 0.4095 0.7438 0.6588
3 Sn 0.9033 0.9368 0.1519
4 Sn 0.9033 0.4368 0.6519
5 Cd 0.5905 0.2438 0.8412
6 Al 0.5000 0.5852 0.0000
7 Al 0.5000 0.0852 0.5000
8 Al 0.0000 0.5852 0.0000
9 Al 0.0000 0.0852 0.5000
10 Cd 0.4095 0.2438 0.1588
11 Cd 0.5905 0.7438 0.3412
12 Sn 0.0967 0.9368 0.8481

Output
Size of the total moment in Bohr magnetons per cell: 0.000
Formation enthalpy at 0 K in eV/atom: 0.114

24.
Entry from Alexandria: an optimized crystal structure of AlCdSn2 (PBE-GGA).

a b c (Å): 4.5281 4.5281 6.4910
angles (deg): 68.64 68.64 59.62
Positions (direct):
1 Al 0.6667 0.6667 0.9975
2 Cd 0.4996 0.4996 0.5013
3 Sn 0.2584 0.2584 0.2270
4 Sn 0.0754 0.0754 0.7742

Output
Size of the total moment in Bohr magnetons per cell: 0.000
Formation enthalpy at 0 K in eV/atom: 0.126

25.
Entry from Alexandria: an optimized crystal structure of AlCdSn (PBE-GGA).

a b c (Å): 3.0314 3.7122 6.5364
angles (deg): 73.62 88.95 86.64
Positions (direct):
1 Al 0.6229 0.4149 0.9949
2 Sn 0.1225 0.0665 0.6869
3 Cd 0.1207 0.7676 0.2860

Output
Size of the total moment in Bohr magnetons per cell: 0.000
Formation enthalpy at 0 K in eV/atom: 0.139